Record 1
Computed, not measured: an optimized crystal structure of V2MoHRh at the PBE level of DFT.

* uncorrected energy: -40.2 eV per cell
* excess energy over the best structure of this formula in the dataset: 12 kJ/mol of formula units
* density: 8.472 g cm⁻³

The structure in extended XYZ format:
```
5
Lattice="-3.506 0.220 1.756 1.623 -1.155 3.384 0.690 3.659 0.918" Properties=species:S:1:pos:R:3 pbc="T T T"
V 0.811 -0.578 1.692
V -1.753 0.110 0.878
Rh -0.597 1.362 3.029
Mo 0.345 1.830 0.459
H 0.000 0.000 0.000
```



Record 2
Computed, not measured: an optimized crystal structure of TbIn3Hg3 at the PBE level of DFT.

* uncorrected energy: -29.6 eV per cell
* ΔH_f (0 K): -0.15 eV/atom
* excess energy over the best structure of this formula in the dataset: 0 kJ/mol of formula units
* density: 10.230 g cm⁻³

The structure in extended XYZ format:
```
14
Lattice="-3.734 -1.825 -2.908 1.703 -8.337 3.046 -5.940 5.264 4.323" Properties=species:S:1:pos:R:3 pbc="T T T"
Tb -6.192 -0.638 1.716
Tb -1.778 -4.259 2.744
Hg -3.140 -1.133 2.531
Hg -5.418 -0.018 4.756
Hg -4.419 1.974 2.223
Hg -2.552 -4.880 -0.295
Hg -4.830 -3.765 1.930
Hg -3.551 -6.871 2.238
In -7.496 2.467 1.442
In -0.802 -2.234 0.221
In -0.474 -7.365 3.019
In -3.913 -1.719 -0.533
In -4.057 -3.179 4.993
In -7.168 -2.663 4.240
```



Record 3
Computed, not measured: an optimized crystal structure of TiBe2Au at the PBE level of DFT.

* uncorrected energy: -19.0 eV per cell
* ΔH_f (0 K): -0.10 eV/atom
* excess energy over the best structure of this formula in the dataset: 28 kJ/mol of formula units
* density: 8.461 g cm⁻³

The structure in extended XYZ format:
```
4
Lattice="-0.148 0.132 -2.906 -1.569 -2.454 -0.031 -5.114 3.265 0.408" Properties=species:S:1:pos:R:3 pbc="T T T"
Be -3.916 2.500 0.312
Be -1.198 0.765 0.096
Au -0.858 -1.161 -1.469
Ti -3.415 0.471 -1.265
```